Entry 1:
4
Lattice="3.740 0.000 0.000 0.000 3.740 0.000 0.000 0.000 9.099" Properties=species:S:1:pos:R:3 comment="Sr2NiPb (PBE, relaxed)" dft_energy_ev_per_cell=-12.897 spacegroup="P4mm, No. 99" e_form_ev_per_atom=-0.011 pbc="T T T"
Sr 0.000 0.000 0.000
Sr 1.870 1.870 3.531
Ni 0.000 0.000 5.745
Pb 1.870 1.870 6.771

---

Entry 2:
4
Lattice="-2.467 2.467 4.981 2.467 -2.467 4.981 2.467 2.467 -4.981" Properties=species:S:1:pos:R:3 comment="K2CoTe (PBE, relaxed)" dft_energy_ev_per_cell=-11.477 spacegroup="I4/mmm, No. 139" e_form_raw_kj_per_mol_fu=93 pbc="T T T"
K 2.467 0.000 2.490
K 0.000 2.467 2.490
Co 0.000 0.000 0.000
Te 0.000 0.000 4.981

---

Entry 3:
4
Lattice="0.000 3.463 3.463 3.463 0.000 3.463 3.463 3.463 0.000" Properties=species:S:1:pos:R:3 comment="GdTlZnPd (PBE, relaxed)" dft_energy_ev_per_cell=-24.619 spacegroup="F-43m, No. 216" e_form_ev_per_atom=-0.426 pbc="T T T"
Gd 0.000 0.000 0.000
Tl 3.463 3.463 3.463
Zn 1.731 1.731 1.731
Pd 5.194 5.194 5.194